## CaTcOs2 (PBE)

Data for CaTcOs2 after structural relaxation.

Summary:
Energy of formation from the pure elements ... 0.5321 eV per atom
E ... -8.175 eV per atom
E above lowest polymorph ... 0.1430 eV/atom
SG ... C2/m (12)

abc: 5.1016 5.1016 5.1310
angles: 103.16 103.16 32.01
Closest atoms and distances in Å follow each position.
Sites, in units of the cell vectors:
Ca: 0.0000 0.0000 0.0000  2 Ca 2.81, 4 Tc 2.93, 6 Os 2.99-3.10
Tc: 0.5000 0.5000 0.5000  4 Os 2.62, 2 Tc 2.81, 4 Ca 2.93
Os: 0.2261 0.2261 0.6974  4 Os 2.60-2.81, 2 Tc 2.62
Os: 0.7739 0.7739 0.3026  4 Os 2.60-2.81, 2 Tc 2.62

=====

## CaTcOs2 (PBE)

Data for CaTcOs2 after structural relaxation.

Summary:
Energy of formation from the pure elements ... 0.6764 eV per atom
E ... -8.030 eV per atom
E above lowest polymorph ... 0.2873 eV/atom
SG ... F-43m (216)

abc: 4.4989 4.4989 4.4989
angles: 60.00 60.00 60.00
Closest atoms and distances in Å follow each position.
Sites, in units of the cell vectors:
Ca: 0.0000 0.0000 0.0000  4 Tc 2.75, 4 Os 2.75
Tc: 0.7500 0.7500 0.7500  4 Os 2.75, 4 Ca 2.75
Os: 0.2500 0.2500 0.2500  4 Ca 2.75, 4 Os 2.75
Os: 0.5000 0.5000 0.5000  4 Tc 2.75, 4 Os 2.75

=====

## CaTcOs2 (PBE)

Data for CaTcOs2 after structural relaxation.

Summary:
Energy of formation from the pure elements ... 0.5371 eV per atom
E ... -8.170 eV per atom
E above lowest polymorph ... 0.1480 eV/atom
SG ... Immm (71)

abc: 5.6898 5.6898 5.6898
angles: 151.05 130.86 58.04
Closest atoms and distances in Å follow each position.
Sites, in units of the cell vectors:
Ca: 0.0000 0.0000 0.0000  4 Tc 2.76, 2 Ca 2.84
Tc: 0.5000 0.5000 0.0000  4 Os 2.61, 4 Ca 2.76, 2 Tc 2.84
Os: 0.2797 0.7797 0.5000  2 Tc 2.61, 6 Os 2.82-2.84
Os: 0.7203 0.2203 0.5000  2 Tc 2.61, 6 Os 2.82-2.84

=====

## CaTcOs2 (PBE)

Data for CaTcOs2 after structural relaxation.

Summary:
Energy of formation from the pure elements ... 0.5183 eV per atom
E ... -8.188 eV per atom
E above lowest polymorph ... 0.1291 eV/atom
SG ... Pmm2 (25)

abc: 2.8103 3.7533 6.7539
angles: 90.00 90.00 90.00
Closest atoms and distances in Å follow each position.
Sites, in units of the cell vectors:
Ca: 0.0000 0.0000 0.0000  2 Ca 2.81, 4 Os 3.12
Tc: 0.5000 0.5000 0.6851  5 Os 2.57-2.68, 2 Tc 2.81
Os: 0.0000 0.0000 0.4913  6 Os 2.66-2.81, 4 Tc 2.68
Os: 0.5000 0.5000 0.3048  1 Tc 2.57, 6 Os 2.66-2.81

=====

## CaTcOs (PBE)

Data for CaTcOs after structural relaxation.

Summary:
Energy of formation from the pure elements ... 0.3781 eV per atom
E ... -7.488 eV per atom
E above lowest polymorph ... 0.0408 eV/atom
SG ... Imm2 (44)

abc: 5.9449 5.9449 5.9449
angles: 152.03 142.91 47.09
Closest atoms and distances in Å follow each position.
Sites, in units of the cell vectors:
Ca: 0.0000 0.0000 0.0000  2 Ca 2.87, 1 Tc 3.15
Tc: 0.2894 0.2894 0.0000  4 Os 2.55
Os: 0.7039 0.7039 0.0000  4 Tc 2.55

=====

## CaTcOs (PBE)

Data for CaTcOs after structural relaxation.

Summary:
Energy of formation from the pure elements ... 0.7585 eV per atom
E ... -7.107 eV per atom
E above lowest polymorph ... 0.4212 eV/atom
SG ... F-43m (216)

abc: 4.4020 4.4020 4.4020
angles: 60.00 60.00 60.00
Closest atoms and distances in Å follow each position.
Sites, in units of the cell vectors:
Ca: 0.0000 0.0000 0.0000  4 Os 2.70
Tc: 0.5000 0.5000 0.5000  4 Os 2.70
Os: 0.2500 0.2500 0.2500  4 Tc 2.70, 4 Ca 2.70

=====

## Ca2TcOs2 (PBE)

Data for Ca2TcOs2 after structural relaxation.

Summary:
Energy of formation from the pure elements ... 0.2584 eV per atom
E ... -7.107 eV per atom
SG ... P4/mbm (127)

abc: 6.4805 6.4805 4.9204
angles: 90.00 90.00 90.00
Closest atoms and distances in Å follow each position.
Sites, in units of the cell vectors:
Ca: 0.1790 0.3210 0.0000  6 Os 3.01-3.19, 5 Ca 3.28-3.37
Ca: 0.3210 0.8210 0.0000  6 Os 3.01-3.19, 5 Ca 3.28-3.37
Ca: 0.6790 0.1790 0.0000  6 Os 3.01-3.19, 5 Ca 3.28-3.37
Ca: 0.8210 0.6790 0.0000  6 Os 3.01-3.19, 5 Ca 3.28-3.37
Tc: 0.0000 0.0000 0.5000  4 Os 2.54
Tc: 0.5000 0.5000 0.5000  4 Os 2.54
Os: 0.1311 0.6311 0.5000  1 Os 2.40, 2 Tc 2.54
Os: 0.3689 0.1311 0.5000  1 Os 2.40, 2 Tc 2.54
Os: 0.6311 0.8689 0.5000  1 Os 2.40, 2 Tc 2.54
Os: 0.8689 0.3689 0.5000  1 Os 2.40, 2 Tc 2.54

=====

## CaTcOs2 (PBE)

Data for CaTcOs2 after structural relaxation.

Summary:
Energy of formation from the pure elements ... 0.6815 eV per atom
E ... -8.025 eV per atom
E above lowest polymorph ... 0.2924 eV/atom
SG ... P4/mmm (123)

abc: 4.6320 4.6320 3.0282
angles: 90.00 90.00 90.00
Closest atoms and distances in Å follow each position.
Sites, in units of the cell vectors:
Ca: 0.0000 0.0000 0.0000  8 Os 2.77, 2 Ca 3.03
Tc: 0.5000 0.5000 0.0000  8 Os 2.77, 2 Tc 3.03
Os: 0.0000 0.5000 0.5000  4 Tc 2.77, 4 Ca 2.77, 2 Os 3.03
Os: 0.5000 0.0000 0.5000  4 Tc 2.77, 4 Ca 2.77, 2 Os 3.03